Entry 1:
Compound: Mn2AlPb
Source: Alexandria via LeMat-Bulk
Functional: SCAN
Structure: PBEsol geometry

Cell: 4.0161 4.0029 4.7729 Å, 114.79 114.88 90.00°
Positions (direct):
Pb1 0.5000 0.0000 0.0000
Mn1 0.7504 0.7504 0.5008
Mn2 0.2496 0.2496 0.4992
Al1 0.0000 0.5000 0.0000

Computed properties:
Crystal system: orthorhombic
VASP energy (hartree per atom): -1.1006
Excess energy over the best structure of this formula in the dataset (meV/atom): 0

Entry 2:
Compound: MnAlPb2
Source: Alexandria via LeMat-Bulk
Functional: SCAN
Structure: PBEsol geometry

Cell: 3.1684 3.1684 8.6097 Å, 90.00 90.00 90.00°
Positions (direct):
Pb1 0.0000 0.0000 0.9401
Pb2 0.5000 0.5000 0.2935
Mn1 0.5000 0.5000 0.7083
Al1 0.0000 0.0000 0.5581

Computed properties:
Crystal system: tetragonal
VASP energy (hartree per atom): -1.6298

Entry 3:
Compound: MnAlPb2
Source: Alexandria via LeMat-Bulk
Functional: SCAN
Structure: PBEsol geometry

Cell: 3.2505 3.2505 9.8813 Å, 80.53 80.53 60.00°
Positions (direct):
Pb1 0.9868 0.9868 0.0396
Pb2 0.7580 0.7580 0.7261
Mn1 0.2420 0.2420 0.2740
Al1 0.5132 0.5132 0.4603

Computed properties:
Crystal system: trigonal
VASP energy (hartree per atom): -1.6253

Entry 4:
Compound: MnAlPb
Source: Alexandria via LeMat-Bulk
Functional: SCAN
Structure: PBEsol geometry

Cell: 4.4171 4.4171 4.4171 Å, 60.00 60.00 60.00°
Positions (direct):
Pb1 0.0000 0.0000 0.0000
Mn1 0.2500 0.2500 0.2500
Al1 0.5000 0.5000 0.5000

Computed properties:
Crystal system: cubic
VASP energy (hartree per atom): -1.2434

Entry 5:
Compound: MnAlPb2
Source: Alexandria via LeMat-Bulk
Functional: SCAN
Structure: PBEsol geometry

Cell: 3.2727 5.2733 5.2733 Å, 101.56 90.00 90.00°
Positions (direct):
Pb1 0.0000 0.5000 0.0000
Pb2 0.0000 0.0000 0.5000
Mn1 0.5000 0.5000 0.5000
Al1 0.5000 0.0000 0.0000

Computed properties:
Crystal system: orthorhombic
VASP energy (hartree per atom): -1.6235

Entry 6:
Compound: MnAlPb2
Source: Alexandria via LeMat-Bulk
Functional: SCAN
Structure: PBEsol geometry

Cell: 4.3438 4.7855 5.3774 Å, 116.42 113.82 90.00°
Positions (direct):
Pb1 0.7565 0.7565 0.5131
Pb2 0.2435 0.2435 0.4869
Mn1 0.5000 0.0000 0.0000
Al1 0.0000 0.5000 0.0000

Computed properties:
Crystal system: orthorhombic
VASP energy (hartree per atom): -1.6230

Entry 7:
Compound: Mn2AlPb
Source: Alexandria via LeMat-Bulk
Functional: SCAN
Structure: PBEsol geometry

Cell: 3.8574 4.0081 4.0081 Å, 90.00 90.00 90.00°
Positions (direct):
Pb1 0.5000 0.5000 0.5000
Mn1 0.0000 0.0000 0.5000
Mn2 0.0000 0.5000 0.0000
Al1 0.5000 0.0000 0.0000

Computed properties:
Crystal system: tetragonal
VASP energy (hartree per atom): -1.1003
Excess energy over the best structure of this formula in the dataset (meV/atom): 8

Entry 8:
Compound: Mn3AlPd
Source: Alexandria via LeMat-Bulk
Functional: SCAN
Structure: PBEsol geometry

Cell: 4.7055 4.7055 4.7055 Å, 90.00 90.00 90.00°
Positions (direct):
Mn1 0.0000 0.5000 0.0000
Mn2 0.0000 0.0000 0.5000
Mn3 0.5000 0.0000 0.0000
Al1 0.5000 0.5000 0.5000
Pd1 0.0000 0.0000 0.0000

Computed properties:
Crystal system: cubic
VASP energy (hartree per atom): -0.6830

Entry 9:
Compound: MnAlPd2
Source: Alexandria via LeMat-Bulk
Functional: SCAN
Structure: PBEsol geometry

Cell: 3.5384 3.9888 3.9888 Å, 90.00 90.00 90.00°
Positions (direct):
Mn1 0.0000 0.5000 0.5000
Al1 0.0000 0.0000 0.0000
Pd1 0.5000 0.0000 0.5000
Pd2 0.5000 0.5000 0.0000

Computed properties:
Crystal system: tetragonal
VASP energy (hartree per atom): -0.8705

Entry 10:
Compound: Mn2AlPt
Source: Alexandria via LeMat-Bulk
Functional: SCAN
Structure: PBEsol geometry

Cell: 2.6901 4.5708 4.5708 Å, 110.20 90.00 90.00°
Positions (direct):
Mn1 0.0000 0.5000 0.0000
Mn2 0.0000 0.0000 0.5000
Al1 0.5000 0.5000 0.5000
Pt1 0.5000 0.0000 0.0000

Computed properties:
Crystal system: orthorhombic
VASP energy (hartree per atom): -1.0743

Entry 11:
Compound: Mn2AlPt
Source: Alexandria via LeMat-Bulk
Functional: SCAN
Structure: PBEsol geometry

Cell: 3.8456 3.8456 4.4651 Å, 115.51 115.51 90.00°
Positions (direct):
Mn1 0.0000 0.0000 0.0000
Mn2 0.7500 0.2500 0.5000
Al1 0.2500 0.7500 0.5000
Pt1 0.5000 0.5000 0.0000

Computed properties:
Crystal system: tetragonal
VASP energy (hartree per atom): -1.0711

Entry 12:
Compound: Rb2Mn2Al
Source: Alexandria via LeMat-Bulk
Functional: SCAN
Structure: PBEsol geometry

Cell: 4.2987 4.2987 8.1833 Å, 105.23 105.23 90.00°
Positions (direct):
Mn1 0.4244 0.4244 0.8489
Mn2 0.5756 0.5756 0.1511
Al1 0.0000 0.0000 0.0000
Rb1 0.2500 0.7500 0.5000
Rb2 0.7500 0.2500 0.5000

Computed properties:
Crystal system: tetragonal
VASP energy (hartree per atom): -0.5913